Density functional theory data (GGA-PBE) for crystalline ZrBePd at its relaxed geometry.

a = 5.4086 Å, b = 5.4086 Å, c = 5.4086 Å
α = 147.38°, β = 147.38°, γ = 46.81°
Fractional coordinates of all 3 atoms:
Zr1 0.0000 0.0000 0.0000
Be1 0.6898 0.6898 0.0000
Pd1 0.2965 0.2965 0.0000

Properties
Energy relative to the lowest polymorph listed for this composition ... 139.4 meV per atom
V ... 15.3 Å³/atom
Total energy ... -18.7 eV per cell
N(E_F) ... 1.62 states/eV/cell
DFT formation energy ... -0.40 eV per atom



Density functional theory data (GGA-PBE) for crystalline TaAs4 at its relaxed geometry.

a = 5.2497 Å, b = 5.2497 Å, c = 5.2497 Å
α = 109.47°, β = 109.47°, γ = 109.47°
Fractional coordinates of all 5 atoms:
Ta1 0.0000 0.0000 0.0000
As1 0.0000 0.0000 0.5000
As2 0.0000 0.5000 0.0000
As3 0.5000 0.0000 0.0000
As4 0.5000 0.5000 0.5000

Properties
Energy relative to the lowest polymorph listed for this composition ... 1.6 meV per atom
V ... 22.3 Å³/atom
Total energy ... -29.5 eV per cell
N(E_F) ... 2.38 states/eV/cell
DFT formation energy ... 0.19 eV per atom



Density functional theory data (GGA-PBE) for crystalline La4Ce3PrN8 at its relaxed geometry.

a = 7.3403 Å, b = 7.3403 Å, c = 7.3403 Å
α = 59.79°, β = 59.79°, γ = 59.79°
Fractional coordinates of all 16 atoms:
La1 0.0000 0.0000 0.0000
La2 0.0000 0.5000 0.5000
La3 0.5000 0.0000 0.5000
La4 0.5000 0.5000 0.0000
Ce1 0.0000 0.0000 0.5000
Ce2 0.0000 0.5000 0.0000
Ce3 0.5000 0.0000 0.0000
Pr1 0.5000 0.5000 0.5000
N1 0.2336 0.7492 0.7492
N2 0.2425 0.2425 0.2425
N3 0.2508 0.2508 0.7664
N4 0.2508 0.7664 0.2508
N5 0.7492 0.2336 0.7492
N6 0.7492 0.7492 0.2336
N7 0.7575 0.7575 0.7575
N8 0.7664 0.2508 0.2508

Properties
Raw formation energy ... -22.34 eV/f.u.
V ... 17.4 Å³/atom
Total energy ... -131.2 eV per cell
N(E_F) ... 8.60 states/eV/cell



Density functional theory data (GGA-PBE) for crystalline KIn4Pb8 at its relaxed geometry.

a = 8.7511 Å, b = 8.7511 Å, c = 8.7511 Å
α = 97.26°, β = 97.26°, γ = 138.36°
Fractional coordinates of all 13 atoms:
K1 0.0000 0.0000 0.0000
In1 0.0000 0.0000 0.5000
In2 0.0000 0.5000 0.0000
In3 0.5000 0.0000 0.0000
In4 0.5000 0.5000 0.5000
Pb1 0.0000 0.3568 0.3568
Pb2 0.0000 0.6432 0.6432
Pb3 0.2843 0.5000 0.7843
Pb4 0.3568 0.0000 0.3568
Pb5 0.5000 0.2843 0.7843
Pb6 0.5000 0.7157 0.2157
Pb7 0.6432 0.0000 0.6432
Pb8 0.7157 0.5000 0.2157

Properties
V ... 32.0 Å³/atom
Total energy ... -42.0 eV per cell
N(E_F) ... 6.23 states/eV/cell
DFT formation energy ... -0.02 eV per atom



Density functional theory data (GGA-PBE) for crystalline LaHoPu2 at its relaxed geometry.

a = 3.4555 Å, b = 3.4555 Å, c = 10.0212 Å
α = 90.00°, β = 90.00°, γ = 90.00°
Fractional coordinates of all 4 atoms:
La1 0.0000 0.0000 0.0000
Ho1 0.0000 0.0000 0.5000
Pu1 0.5000 0.5000 0.2548
Pu2 0.5000 0.5000 0.7452

Properties
Energy relative to the lowest polymorph listed for this composition ... 0.0 meV per atom
V ... 29.9 Å³/atom
Total energy ... -37.4 eV per cell
N(E_F) ... 13.58 states/eV/cell
DFT formation energy ... 0.20 eV per atom



Density functional theory data (GGA-PBE) for crystalline Sc2CdPb2 at its relaxed geometry.

a = 8.4861 Å, b = 8.4861 Å, c = 3.5852 Å
α = 90.00°, β = 90.00°, γ = 90.00°
Fractional coordinates of all 10 atoms:
Sc1 0.1332 0.3668 0.0000
Sc2 0.3668 0.8668 0.0000
Sc3 0.6332 0.1332 0.0000
Sc4 0.8668 0.6332 0.0000
Cd1 0.0000 0.0000 0.0000
Cd2 0.5000 0.5000 0.0000
Pb1 0.1707 0.6707 0.5000
Pb2 0.3293 0.1707 0.5000
Pb3 0.6707 0.8293 0.5000
Pb4 0.8293 0.3293 0.5000

Properties
Energy relative to the lowest polymorph listed for this composition ... 0.0 meV per atom
V ... 25.8 Å³/atom
Total energy ... -43.8 eV per cell
N(E_F) ... 9.89 states/eV/cell
DFT formation energy ... -0.18 eV per atom



Density functional theory data (GGA-PBE) for crystalline Ba2SnIrI at its relaxed geometry.

a = 6.2668 Å, b = 6.2668 Å, c = 5.0408 Å
α = 90.00°, β = 90.00°, γ = 90.00°
Fractional coordinates of all 5 atoms:
Ba1 0.0000 0.5000 0.0000
Ba2 0.5000 0.0000 0.0000
Sn1 0.0000 0.0000 0.5000
Ir1 0.0000 0.0000 0.0000
I1 0.5000 0.5000 0.5000

Properties
Raw formation energy ... -3.74 eV/f.u.
V ... 39.6 Å³/atom
Total energy ... -22.0 eV per cell
N(E_F) ... 2.29 states/eV/cell



Density functional theory data (GGA-PBE) for crystalline Pa2InPb9 at its relaxed geometry.

a = 4.7723 Å, b = 4.7723 Å, c = 15.2665 Å
α = 90.00°, β = 90.00°, γ = 90.00°
Fractional coordinates of all 12 atoms:
Pa1 0.0000 0.0000 0.1517
Pa2 0.0000 0.0000 0.8483
In1 0.0000 0.0000 0.5000
Pb1 0.0000 0.5000 0.0000
Pb2 0.0000 0.5000 0.3271
Pb3 0.0000 0.5000 0.6729
Pb4 0.5000 0.0000 0.0000
Pb5 0.5000 0.0000 0.3271
Pb6 0.5000 0.0000 0.6729
Pb7 0.5000 0.5000 0.1655
Pb8 0.5000 0.5000 0.5000
Pb9 0.5000 0.5000 0.8345

Properties
V ... 29.0 Å³/atom
Total energy ... -54.7 eV per cell
N(E_F) ... 12.04 states/eV/cell
DFT formation energy ... 0.03 eV per atom



Density functional theory data (GGA-PBE) for crystalline Pr2P3Pt9 at its relaxed geometry.

a = 7.7348 Å, b = 7.7348 Å, c = 10.5904 Å
α = 111.57°, β = 111.57°, γ = 58.20°
Fractional coordinates of all 28 atoms:
Pr1 0.1139 0.2485 0.2416
Pr2 0.2485 0.1139 0.7416
Pr3 0.7515 0.8861 0.2584
Pr4 0.8861 0.7515 0.7584
P1 0.0000 0.5000 0.0000
P2 0.1504 0.6727 0.5115
P3 0.3273 0.8496 0.9885
P4 0.5000 0.0000 0.5000
P5 0.6727 0.1504 0.0115
P6 0.8496 0.3273 0.4885
Pt1 0.0137 0.1274 0.9206
Pt2 0.1274 0.0137 0.4206
Pt3 0.2130 0.3579 0.5527
Pt4 0.2330 0.5989 0.2958
Pt5 0.2848 0.5234 0.9371
Pt6 0.3436 0.6564 0.7500
Pt7 0.3579 0.2130 0.0527
Pt8 0.4011 0.7670 0.2042
Pt9 0.4766 0.7152 0.5629
Pt10 0.5234 0.2848 0.4371
Pt11 0.5989 0.2330 0.7958
Pt12 0.6421 0.7870 0.9473
Pt13 0.6564 0.3436 0.2500
Pt14 0.7152 0.4766 0.0629
Pt15 0.7670 0.4011 0.7042
Pt16 0.7870 0.6421 0.4473
Pt17 0.8726 0.9863 0.5794
Pt18 0.9863 0.8726 0.0794

Properties
V ... 17.4 Å³/atom
Total energy ... -178.5 eV per cell
N(E_F) ... 13.26 states/eV/cell
DFT formation energy ... -0.65 eV per atom



Density functional theory data (GGA-PBE) for crystalline Mg5Sc6Hg at its relaxed geometry.

a = 8.0357 Å, b = 8.0357 Å, c = 7.0778 Å
α = 90.00°, β = 90.00°, γ = 143.26°
Fractional coordinates of all 12 atoms:
Mg1 0.0000 0.0000 0.0000
Mg2 0.3284 0.6716 0.5000
Mg3 0.3330 0.6670 0.0000
Mg4 0.6670 0.3330 0.0000
Mg5 0.6716 0.3284 0.5000
Sc1 0.1650 0.8350 0.2503
Sc2 0.1650 0.8350 0.7497
Sc3 0.5000 0.5000 0.2526
Sc4 0.5000 0.5000 0.7474
Sc5 0.8350 0.1650 0.2503
Sc6 0.8350 0.1650 0.7497
Hg1 0.0000 0.0000 0.5000

Properties
V ... 22.8 Å³/atom
Total energy ... -47.6 eV per cell
N(E_F) ... 13.98 states/eV/cell
DFT formation energy ... -0.11 eV per atom



Density functional theory data (GGA-PBE) for crystalline Tl3Hg4Au8 at its relaxed geometry.

a = 9.9403 Å, b = 9.9403 Å, c = 8.2232 Å
α = 90.00°, β = 90.00°, γ = 120.00°
Fractional coordinates of all 30 atoms:
Tl1 0.0597 0.5298 0.0000
Tl2 0.4702 0.5298 0.0000
Tl3 0.4702 0.9403 0.0000
Tl4 0.5298 0.0597 0.5000
Tl5 0.5298 0.4702 0.5000
Tl6 0.9403 0.4702 0.5000
Hg1 0.1782 0.3563 0.3369
Hg2 0.1782 0.8218 0.3369
Hg3 0.3333 0.6667 0.6791
Hg4 0.3563 0.1782 0.8369
Hg5 0.6437 0.8218 0.3369
Hg6 0.6667 0.3333 0.1791
Hg7 0.8218 0.1782 0.8369
Hg8 0.8218 0.6437 0.8369
Au1 0.0000 0.0000 0.2549
Au2 0.0000 0.0000 0.7549
Au3 0.1183 0.2367 0.0086
Au4 0.1183 0.8817 0.0086
Au5 0.1700 0.3399 0.6860
Au6 0.1700 0.8300 0.6860
Au7 0.2367 0.1183 0.5086
Au8 0.3333 0.6667 0.2402
Au9 0.3399 0.1700 0.1860
Au10 0.6601 0.8300 0.6860
Au11 0.6667 0.3333 0.7402
Au12 0.7633 0.8817 0.0086
Au13 0.8300 0.1700 0.1860
Au14 0.8300 0.6601 0.1860
Au15 0.8817 0.1183 0.5086
Au16 0.8817 0.7633 0.5086

Properties
V ... 23.5 Å³/atom
Total energy ... -68.0 eV per cell
N(E_F) ... 11.13 states/eV/cell
DFT formation energy ... 0.03 eV per atom



Density functional theory data (GGA-PBE) for crystalline IrAuSe2 at its relaxed geometry.

a = 7.2728 Å, b = 7.2728 Å, c = 7.2728 Å
α = 30.10°, β = 30.10°, γ = 30.10°
Fractional coordinates of all 4 atoms:
Ir1 0.0000 0.0000 0.0000
Au1 0.2521 0.2521 0.2521
Se1 0.5208 0.5208 0.5208
Se2 0.7167 0.7167 0.7167

Properties
Raw formation energy ... 0.19 eV/f.u.
V ... 21.4 Å³/atom
Total energy ... -18.9 eV per cell
N(E_F) ... 3.04 states/eV/cell



Density functional theory data (GGA-PBE) for crystalline Nd12Zn6Cu at its relaxed geometry.

a = 8.2094 Å, b = 8.2094 Å, c = 8.2094 Å
α = 93.35°, β = 93.35°, γ = 93.35°
Fractional coordinates of all 19 atoms:
Nd1 0.0454 0.9370 0.6947
Nd2 0.0630 0.3053 0.9546
Nd3 0.1707 0.4046 0.5288
Nd4 0.3053 0.9546 0.0630
Nd5 0.4046 0.5288 0.1707
Nd6 0.4712 0.8293 0.5954
Nd7 0.5288 0.1707 0.4046
Nd8 0.5954 0.4712 0.8293
Nd9 0.6947 0.0454 0.9370
Nd10 0.8293 0.5954 0.4712
Nd11 0.9370 0.6947 0.0454
Nd12 0.9546 0.0630 0.3053
Zn1 0.1662 0.7571 0.3564
Zn2 0.2429 0.6436 0.8338
Zn3 0.3564 0.1662 0.7571
Zn4 0.6436 0.8338 0.2429
Zn5 0.7571 0.3564 0.1662
Zn6 0.8338 0.2429 0.6436
Cu1 0.5000 0.5000 0.5000

Properties
V ... 29.0 Å³/atom
Total energy ... -70.1 eV per cell
N(E_F) ... 26.79 states/eV/cell
DFT formation energy ... -0.06 eV per atom



Density functional theory data (GGA-PBE) for crystalline LuTe at its relaxed geometry.

a = 3.7269 Å, b = 3.7269 Å, c = 3.7269 Å
α = 90.00°, β = 90.00°, γ = 90.00°
Fractional coordinates of all 2 atoms:
Lu1 0.0000 0.0000 0.0000
Te1 0.5000 0.5000 0.5000

Properties
Raw formation energy ... -1.99 eV/f.u.
V ... 25.9 Å³/atom
Total energy ... -9.7 eV per cell
N(E_F) ... 1.58 states/eV/cell



Density functional theory data (GGA-PBE) for crystalline Tm5Co2Ni at its relaxed geometry.

a = 8.5523 Å, b = 8.5523 Å, c = 8.5523 Å
α = 131.49°, β = 131.49°, γ = 71.04°
Fractional coordinates of all 16 atoms:
Tm1 0.0000 0.0000 0.0000
Tm2 0.0342 0.5342 0.8522
Tm3 0.1820 0.0342 0.5000
Tm4 0.3180 0.8180 0.8522
Tm5 0.4658 0.3180 0.5000
Tm6 0.5000 0.5000 0.0000
Tm7 0.5342 0.6820 0.5000
Tm8 0.6820 0.1820 0.1478
Tm9 0.8180 0.9658 0.5000
Tm10 0.9658 0.4658 0.1478
Co1 0.1143 0.3857 0.5000
Co2 0.3857 0.8857 0.2714
Co3 0.6143 0.1143 0.7286
Co4 0.8857 0.6143 0.5000
Ni1 0.2500 0.2500 0.0000
Ni2 0.7500 0.7500 0.0000

Properties
V ... 21.5 Å³/atom
Total energy ... -89.2 eV per cell
N(E_F) ... 12.22 states/eV/cell
DFT formation energy ... -0.28 eV per atom



Density functional theory data (GGA-PBE) for crystalline GaMo at its relaxed geometry.

a = 2.7682 Å, b = 4.4345 Å, c = 5.0935 Å
α = 90.00°, β = 99.12°, γ = 90.00°
Fractional coordinates of all 4 atoms:
Ga1 0.0122 0.2500 0.3628
Ga2 0.9878 0.7500 0.6372
Mo1 0.4121 0.7500 0.1381
Mo2 0.5879 0.2500 0.8619

Properties
Energy relative to the lowest polymorph listed for this composition ... 106.7 meV per atom
V ... 15.4 Å³/atom
Total energy ... -27.6 eV per cell
N(E_F) ... 2.23 states/eV/cell
DFT formation energy ... 0.02 eV per atom



Density functional theory data (GGA-PBE) for crystalline Si2SbRh at its relaxed geometry.

a = 4.8393 Å, b = 4.8393 Å, c = 4.8393 Å
α = 128.08°, β = 128.08°, γ = 76.50°
Fractional coordinates of all 4 atoms:
Si1 0.2500 0.7500 0.5000
Si2 0.7500 0.2500 0.5000
Sb1 0.0000 0.0000 0.0000
Rh1 0.5000 0.5000 0.0000

Properties
Raw formation energy ... 1.15 eV/f.u.
V ... 17.1 Å³/atom
Total energy ... -21.2 eV per cell
N(E_F) ... 1.52 states/eV/cell



Density functional theory data (GGA-PBE) for crystalline MgZnSe2 at its relaxed geometry.

a = 10.4556 Å, b = 4.1898 Å, c = 10.7490 Å
α = 90.00°, β = 90.00°, γ = 90.00°
Fractional coordinates of all 16 atoms:
Mg1 0.0380 0.2500 0.1277
Mg2 0.4620 0.7500 0.6277
Mg3 0.5380 0.2500 0.3723
Mg4 0.9620 0.7500 0.8723
Zn1 0.1183 0.2500 0.5492
Zn2 0.3817 0.7500 0.0492
Zn3 0.6183 0.2500 0.9508
Zn4 0.8817 0.7500 0.4508
Se1 0.0252 0.7500 0.6414
Se2 0.1486 0.7500 0.0390
Se3 0.3514 0.2500 0.5390
Se4 0.4748 0.2500 0.1414
Se5 0.5252 0.7500 0.8586
Se6 0.6486 0.7500 0.4610
Se7 0.8514 0.2500 0.9610
Se8 0.9748 0.2500 0.3586

Properties
Raw formation energy ... -3.58 eV/f.u.
V ... 29.4 Å³/atom
Total energy ... -53.7 eV per cell
N(E_F) ... 0.00 states/eV/cell



Density functional theory data (GGA-PBE) for crystalline SrLa2CrN4 at its relaxed geometry.

a = 6.4341 Å, b = 6.4341 Å, c = 12.4271 Å
α = 90.00°, β = 90.00°, γ = 147.63°
Fractional coordinates of all 16 atoms:
Sr1 0.0977 0.9023 0.7500
Sr2 0.9023 0.0977 0.2500
La1 0.3689 0.6311 0.5421
La2 0.3689 0.6311 0.9579
La3 0.6311 0.3689 0.0421
La4 0.6311 0.3689 0.4579
Cr1 0.1793 0.8207 0.2500
Cr2 0.8207 0.1793 0.7500
N1 0.0000 0.0000 0.0000
N2 0.0000 0.0000 0.5000
N3 0.2634 0.7366 0.1331
N4 0.2634 0.7366 0.3669
N5 0.3934 0.6066 0.7500
N6 0.6066 0.3934 0.2500
N7 0.7366 0.2634 0.6331
N8 0.7366 0.2634 0.8669

Properties
Raw formation energy ... -7.85 eV/f.u.
V ... 17.2 Å³/atom
Total energy ... -124.6 eV per cell
N(E_F) ... 6.53 states/eV/cell



Density functional theory data (GGA-PBE) for crystalline KRe2Si at its relaxed geometry.

a = 9.3545 Å, b = 9.3545 Å, c = 9.3545 Å
α = 150.38°, β = 150.38°, γ = 42.38°
Fractional coordinates of all 8 atoms:
K1 0.0000 0.0000 0.0000
K2 0.7500 0.2500 0.5000
Re1 0.3361 0.1250 0.7111
Re2 0.3750 0.6639 0.7889
Re3 0.4139 0.6250 0.2889
Re4 0.8750 0.5861 0.2111
Si1 0.2500 0.7500 0.5000
Si2 0.5000 0.5000 0.0000

Properties
Raw formation energy ... 4.90 eV/f.u.
V ... 24.9 Å³/atom
Total energy ... -53.0 eV per cell
N(E_F) ... 7.33 states/eV/cell



Density functional theory data (GGA-PBE) for crystalline BaPmIn2 at its relaxed geometry.

a = 4.0338 Å, b = 4.0338 Å, c = 8.2125 Å
α = 90.00°, β = 90.00°, γ = 90.00°
Fractional coordinates of all 4 atoms:
Ba1 0.0000 0.0000 0.0000
Pm1 0.0000 0.0000 0.5000
In1 0.5000 0.5000 0.2904
In2 0.5000 0.5000 0.7096

Properties
V ... 33.4 Å³/atom
Total energy ... -13.9 eV per cell
N(E_F) ... 2.12 states/eV/cell
DFT formation energy ... -0.44 eV per atom